(1)
A PBEsol-optimized structure of Tm2AgAu. Source: Alexandria via LeMat-Bulk, functional meta-GGA SCAN.

Cell lengths 7.0055, 7.0055, 7.0055 Å; angles 90.00, 90.00, 90.00 degrees
With the nearest neighbours (Å) after each atom.
Space group Fm-3m (No. 225)
Symmetry-distinct sites (fractional):
Tm  0.2500  0.2500  0.2500  4 Ag 3.03, 4 Au 3.03
Ag  0.0000  0.0000  0.0000  8 Tm 3.03
Au  0.0000  0.0000  0.5000  8 Tm 3.03

Summary:
The value obtained for the final energy is -51.83 eV per atom.

=====

(2)
A PBEsol-optimized structure of SrRe3Pt. Source: Alexandria via LeMat-Bulk, functional meta-GGA SCAN.

Cell lengths 4.8059, 4.8059, 4.8059 Å; angles 90.00, 90.00, 90.00 degrees
With the nearest neighbours (Å) after each atom.
Space group Pm-3m (No. 221)
Symmetry-distinct sites (fractional):
Sr  0.0000  0.0000  0.0000  12 Re 3.40
Re  0.0000  0.5000  0.5000  2 Pt 2.40
Pt  0.5000  0.5000  0.5000  6 Re 2.40

Summary:
The value obtained for the final energy is -59.27 eV per atom.

=====

(3)
A PBEsol-optimized structure of Zr2ScTa. Source: Alexandria via LeMat-Bulk, functional meta-GGA SCAN.

Cell lengths 6.9053, 6.9053, 6.9053 Å; angles 90.00, 90.00, 90.00 degrees
With the nearest neighbours (Å) after each atom.
Space group F-43m (No. 216)
Symmetry-distinct sites (fractional):
Zr  0.0000  0.0000  0.0000  4 Zr 2.99, 4 Ta 2.99
Zr  0.2500  0.2500  0.2500  4 Zr 2.99, 4 Sc 2.99
Sc  0.0000  0.0000  0.5000  4 Zr 2.99, 4 Ta 2.99
Ta  0.2500  0.2500  0.7500  4 Zr 2.99, 4 Sc 2.99

Summary:
The value obtained for the final energy is -35.31 eV per atom.

=====

(4)
A PBEsol-optimized structure of ReSbW. Source: Alexandria via LeMat-Bulk, functional meta-GGA SCAN.

Cell lengths 6.1270, 6.1270, 6.1270 Å; angles 90.00, 90.00, 90.00 degrees
With the nearest neighbours (Å) after each atom.
Space group F-43m (No. 216)
Symmetry-distinct sites (fractional):
Re  0.0000  0.0000  0.0000  4 W 2.65, 4 Sb 2.65
Sb  0.2500  0.2500  0.7500  4 Re 2.65
W  0.2500  0.2500  0.2500  4 Re 2.65

Summary:
The value obtained for the formation energy from raw total energies is 0.2774 eV per atom.

=====

Number 1: DOS at the Fermi energy 7.874 states/eV per cell. Number 2: DOS at the Fermi energy 6.427 states/eV per cell. Number 3: DOS at the Fermi energy 25.483 states/eV per cell. Number 4: DOS at the Fermi energy 1.986 states/eV per cell.